No. 1
## LiSm3Se2Br6 (PBE-GGA)

Data for LiSm3Se2Br6 after structural relaxation.

Computed properties:
M_tot = 0.000 μB per cell
E = -4.50 eV/atom

a = 8.2366 Å, b = 8.2366 Å, c = 6.4834 Å
α = 91.52°, β = 91.52°, γ = 61.54°
With the nearest neighbours (Å) after each atom.
Fractional coordinates of all 12 atoms:
Li  0.0000  0.0000  0.0000  6 Br 2.71-2.86
Sm  0.0000  0.5000  0.0000  2 Se 2.86, 4 Br 2.91-2.93
Sm  0.5000  0.0000  0.0000  2 Se 2.86, 4 Br 2.91-2.93
Sm  0.5000  0.5000  0.5000  2 Se 2.86, 4 Br 2.94
Se  0.3317  0.3317  0.2438  3 Sm 2.86
Se  0.6683  0.6683  0.7562  3 Sm 2.86
Br  0.1549  0.1549  0.7641  1 Li 2.71, 2 Sm 2.91
Br  0.1616  0.6740  0.7456  1 Li 2.86, 2 Sm 2.93-2.94
Br  0.3260  0.8384  0.2544  1 Li 2.86, 2 Sm 2.93-2.94
Br  0.6740  0.1616  0.7456  1 Li 2.86, 2 Sm 2.93-2.94
Br  0.8384  0.3260  0.2544  1 Li 2.86, 2 Sm 2.93-2.94
Br  0.8451  0.8451  0.2359  1 Li 2.71, 2 Sm 2.91

***

No. 2
## Ni2HIrPb (PBE-GGA)

Data for Ni2HIrPb after structural relaxation.

Computed properties:
M_tot = 0.000 μB per cell
E = -5.37 eV/atom

a = 4.0131 Å, b = 4.0131 Å, c = 3.8208 Å
α = 90.00°, β = 90.00°, γ = 90.00°
With the nearest neighbours (Å) after each atom.
Fractional coordinates of all 5 atoms:
Ni  0.0000  0.5000  0.0000  2 H 2.01
Ni  0.5000  0.0000  0.0000  2 H 2.01
H  0.0000  0.0000  0.0000  2 Ir 1.91, 4 Ni 2.01
Ir  0.0000  0.0000  0.5000  2 H 1.91
Pb  0.5000  0.5000  0.5000  8 Ni 2.77, 4 Ir 2.84

***

No. 3
## PrDy2Sn (PBE-GGA)

Data for PrDy2Sn after structural relaxation.

Computed properties:
Energy relative to the elements = -1.66 eV per formula unit
M_tot = 0.001 μB per cell
Polymorph energy (0 for the lowest one) = 2 meV/atom
E = -4.91 eV/atom

a = 4.6943 Å, b = 4.7503 Å, c = 11.5268 Å
α = 90.00°, β = 101.64°, γ = 90.00°
With the nearest neighbours (Å) after each atom.
Fractional coordinates of all 8 atoms:
Pr  0.1919  0.2500  0.3868  5 Sn 3.26-3.42
Pr  0.8081  0.7500  0.6132  5 Sn 3.26-3.42
Dy  0.0578  0.7500  0.1163  2 Sn 3.31-3.32, 8 Dy 3.34-3.62
Dy  0.4369  0.7500  0.8727  2 Sn 3.25, 6 Dy 3.34-3.62
Dy  0.5631  0.2500  0.1273  2 Sn 3.25, 6 Dy 3.34-3.62
Dy  0.9422  0.2500  0.8837  2 Sn 3.31-3.32, 8 Dy 3.34-3.62
Sn  0.3404  0.2500  0.6760  4 Dy 3.25-3.32, 5 Pr 3.26-3.42
Sn  0.6596  0.7500  0.3240  4 Dy 3.25-3.32, 5 Pr 3.26-3.42

***

Repeat the first record exactly.
## LiSm3Se2Br6 (PBE-GGA)

Data for LiSm3Se2Br6 after structural relaxation.

Computed properties:
M_tot = 0.000 μB per cell
E = -4.50 eV/atom

a = 8.2366 Å, b = 8.2366 Å, c = 6.4834 Å
α = 91.52°, β = 91.52°, γ = 61.54°
With the nearest neighbours (Å) after each atom.
Fractional coordinates of all 12 atoms:
Li  0.0000  0.0000  0.0000  6 Br 2.71-2.86
Sm  0.0000  0.5000  0.0000  2 Se 2.86, 4 Br 2.91-2.93
Sm  0.5000  0.0000  0.0000  2 Se 2.86, 4 Br 2.91-2.93
Sm  0.5000  0.5000  0.5000  2 Se 2.86, 4 Br 2.94
Se  0.3317  0.3317  0.2438  3 Sm 2.86
Se  0.6683  0.6683  0.7562  3 Sm 2.86
Br  0.1549  0.1549  0.7641  1 Li 2.71, 2 Sm 2.91
Br  0.1616  0.6740  0.7456  1 Li 2.86, 2 Sm 2.93-2.94
Br  0.3260  0.8384  0.2544  1 Li 2.86, 2 Sm 2.93-2.94
Br  0.6740  0.1616  0.7456  1 Li 2.86, 2 Sm 2.93-2.94
Br  0.8384  0.3260  0.2544  1 Li 2.86, 2 Sm 2.93-2.94
Br  0.8451  0.8451  0.2359  1 Li 2.71, 2 Sm 2.91

***

- Number 3 is which compound?
  PrDy2Sn

***

- What is the formula in the first record?
  LiSm3Se2Br6